1.
# Mn2RePb

A relaxed structure of Mn2RePb (PBE, Alexandria).

Lattice parameters (Å, degrees): 3.015 3.015 7.635 90.00 90.00 90.00
Last column: magnetic moment on the atom in μB.
Sites, in units of the cell vectors:
1 Mn 0.500 0.500 0.189  3.65
2 Re 0.500 0.500 0.816  -0.25
3 Mn 0.000 0.000 0.982  1.37
4 Pb 0.000 0.000 0.513  0.02

Summary:
symmetry	P4mm (99)
calculated density	12.04	Mg/m³
magnetization	1.251	μB/atom
calculated formation energy	0.509	eV per atom

---

2.
# Mn2RePb

A relaxed structure of Mn2RePb (PBE, Alexandria).

Lattice parameters (Å, degrees): 4.853 4.853 4.853 132.01 132.01 70.21
Last column: magnetic moment on the atom in μB.
Sites, in units of the cell vectors:
1 Mn 0.250 0.750 0.500  2.75
2 Re 0.750 0.250 0.500  -0.17
3 Pb 0.500 0.500 0.000  -0.06
4 Mn 0.000 0.000 0.000  1.59

Summary:
symmetry	I-4m2 (119)
calculated density	13.51	Mg/m³
magnetization	1.051	μB/atom
calculated formation energy	0.649	eV per atom

---

3.
# MnRePb

A relaxed structure of MnRePb (PBE, Alexandria).

Lattice parameters (Å, degrees): 6.261 6.261 3.010 76.09 76.09 27.81
Last column: magnetic moment on the atom in μB.
Sites, in units of the cell vectors:
1 Mn 0.026 0.026 0.974  2.06
2 Re 0.640 0.640 0.360  -0.42
3 Pb 0.334 0.334 0.666  0.01

Summary:
symmetry	I4mm (107)
calculated density	13.96	Mg/m³
magnetization	0.570	μB/atom
calculated formation energy	0.632	eV per atom
energy above the most stable polymorph in this dataset	0.0	meV/atom

---

4.
# Mn2RePb

A relaxed structure of Mn2RePb (PBE, Alexandria).

Lattice parameters (Å, degrees): 4.438 4.438 5.590 82.27 82.27 39.64
Last column: magnetic moment on the atom in μB.
Sites, in units of the cell vectors:
1 Pb 0.750 0.750 0.750  -0.06
2 Mn 0.508 0.508 0.447  3.03
3 Re 0.250 0.250 0.250  -0.67
4 Mn 0.992 0.992 0.053  3.03

Summary:
symmetry	C2/m (12)
calculated density	12.02	Mg/m³
magnetization	1.377	μB/atom
calculated formation energy	0.644	eV per atom

---

5.
# Mn3RePb

A relaxed structure of Mn3RePb (PBE, Alexandria).

Lattice parameters (Å, degrees): 4.724 4.724 4.724 90.00 90.00 90.00
Last column: magnetic moment on the atom in μB.
Sites, in units of the cell vectors:
1 Pb 0.500 0.500 0.500  -0.07
2 Mn 0.500 0.000 0.000  3.24
3 Mn 0.000 0.000 0.500  3.10
4 Mn 0.000 0.500 0.000  3.15
5 Re 0.000 0.000 0.000  -0.69

Summary:
symmetry	Pm-3m (221)
calculated density	8.79	Mg/m³
magnetization	1.827	μB/atom
calculated formation energy	1.092	eV per atom
energy above the most stable polymorph in this dataset	0.0	meV/atom

---

6.
# MnRe2Pb

A relaxed structure of MnRe2Pb (PBE, Alexandria).

Lattice parameters (Å, degrees): 4.416 4.416 3.370 90.00 90.00 90.00
Last column: magnetic moment on the atom in μB.
Sites, in units of the cell vectors:
1 Mn 0.500 0.000 0.500  3.00
2 Pb 0.000 0.500 0.500  0.00
3 Re 0.500 0.500 0.000  -0.48
4 Re 0.000 0.000 0.000  -0.48

Summary:
symmetry	P4/mmm (123)
calculated density	16.03	Mg/m³
magnetization	0.510	μB/atom
calculated formation energy	0.889	eV per atom

---

- The highest magnetization belongs to which entry?
  Mn3RePb

---

- magnetization of number 1 (Mn2RePb)?
  1.251 μB/atom